1.
Density functional theory data (GGA-PBEsol) for MnAlNi2Pt after structural relaxation.

## Properties
DOS(E_F) = 0.7743 states/eV/atom
SG = No. 123
DFT total energy = -5.73 eV per atom
Calculated formation energy = 901 meV/atom
Theoretical density = 9.05 g/cm³

Lattice parameters (Å, degrees): 4.082 4.082 4.344 90.00 90.00 90.00
Element x y z (fractional)
Ni 0.000 0.500 0.000
Mn 0.000 0.000 0.000
Al 0.000 0.000 0.500
Pt 0.500 0.500 0.500
Ni 0.500 0.000 0.000


2.
Density functional theory data (GGA-PBEsol) for Zr2MnAlNi after structural relaxation.

## Properties
DOS(E_F) = 1.2980 states/eV/atom
SG = No. 123
DFT total energy = -7.29 eV per atom
Calculated formation energy = 347 meV/atom
Theoretical density = 5.42 g/cm³

Lattice parameters (Å, degrees): 4.401 4.741 4.741 90.00 90.00 90.00
Site moments in Bohr magnetons follow the coordinates.
Element x y z (fractional)
Ni 0.000 0.000 0.000  -0.02
Al 0.500 0.000 0.000  -0.01
Zr 0.000 0.000 0.500  -0.14
Mn 0.500 0.500 0.500  3.84
Zr 0.000 0.500 0.000  -0.14


3.
Density functional theory data (GGA-PBEsol) for MnAlO2 after structural relaxation.

## Properties
DOS(E_F) = 0.3711 states/eV/atom
SG = No. 166
DFT total energy = -8.16 eV per atom
Raw formation energy = -8.30 eV/f.u.
Theoretical density = 4.61 g/cm³

Lattice parameters (Å, degrees): 2.861 2.861 6.025 76.27 76.27 60.00
Site moments in Bohr magnetons follow the coordinates.
Element x y z (fractional)
O 0.111 0.111 0.666  0.02
O 0.889 0.889 0.334  0.02
Mn 0.000 0.000 0.000  3.56
Al 0.500 0.500 0.500  0.01


4.
Density functional theory data (GGA-PBEsol) for MnAl2O4 after structural relaxation.

## Properties
DOS(E_F) = 0.0000 states/eV/atom
SG = No. 227
DFT total energy = -8.13 eV per atom
Raw formation energy = -17.96 eV/f.u.
Theoretical density = 4.18 g/cm³

Lattice parameters (Å, degrees): 5.793 5.793 5.793 60.00 60.00 60.00
Site moments in Bohr magnetons follow the coordinates.
Element x y z (fractional)
O 0.422 0.859 0.859  0.05
Al 0.625 0.625 0.125  0.01
O 0.859 0.422 0.859  0.05
Al 0.125 0.625 0.625  0.01
Al 0.625 0.125 0.625  0.01
Mn 0.000 0.000 0.000  4.37
Al 0.625 0.625 0.625  0.01
O 0.391 0.391 0.391  0.05
Mn 0.250 0.250 0.250  4.37
O 0.859 0.859 0.422  0.05
O 0.391 0.828 0.391  0.05
O 0.391 0.391 0.828  0.05
O 0.859 0.859 0.859  0.05
O 0.828 0.391 0.391  0.05


5.
Density functional theory data (GGA-PBEsol) for Mn2AlO4 after structural relaxation.

## Properties
DOS(E_F) = 0.3026 states/eV/atom
SG = No. 62
DFT total energy = -8.29 eV per atom
Raw formation energy = -13.40 eV/f.u.
Theoretical density = 4.39 g/cm³

Lattice parameters (Å, degrees): 4.916 6.118 10.115 90.00 90.00 90.00
Site moments in Bohr magnetons follow the coordinates.
Element x y z (fractional)
O 0.244 0.017 0.656  0.07
Mn 0.024 0.750 0.721  4.17
O 0.244 0.483 0.656  0.07
O 0.744 0.517 0.844  0.07
O 0.256 0.483 0.156  0.07
O 0.287 0.750 0.402  0.09
Mn 0.000 0.500 0.000  4.04
Mn 0.500 0.000 0.500  4.04
Mn 0.524 0.250 0.779  4.17
Al 0.933 0.750 0.407  0.02
Al 0.567 0.750 0.907  0.02
Mn 0.500 0.500 0.500  4.04
O 0.756 0.517 0.344  0.07
O 0.756 0.983 0.344  0.07
O 0.213 0.750 0.902  0.09
O 0.787 0.250 0.098  0.09
O 0.229 0.250 0.432  0.07
O 0.771 0.750 0.568  0.07
Mn 0.476 0.750 0.221  4.17
O 0.256 0.017 0.156  0.07
O 0.713 0.250 0.598  0.09
O 0.271 0.250 0.932  0.07
Al 0.067 0.250 0.593  0.02
O 0.729 0.750 0.068  0.07
Al 0.433 0.250 0.093  0.02
Mn 0.000 0.000 0.000  4.04
O 0.744 0.983 0.844  0.07
Mn 0.976 0.250 0.279  4.17


6.
Density functional theory data (GGA-PBEsol) for MnAlO3 after structural relaxation.

## Properties
SG = No. 2
DFT total energy = -8.19 eV per atom
Raw formation energy = -11.33 eV/f.u.
Theoretical density = 4.59 g/cm³

Lattice parameters (Å, degrees): 4.782 4.935 5.157 63.55 89.13 62.65
Site moments in Bohr magnetons follow the coordinates.
Element x y z (fractional)
O 0.911 0.852 0.716  0.08
O 0.784 0.766 0.256  0.08
Al 0.150 0.700 0.455  0.02
Mn 0.645 0.715 0.940  3.60
O 0.089 0.148 0.284  0.08
Mn 0.355 0.285 0.060  3.60
O 0.553 0.498 0.747  0.02
O 0.447 0.502 0.253  0.02
O 0.216 0.234 0.744  0.08
Al 0.850 0.300 0.545  0.02